The following is a PBE calculation of an optimized crystal structure of TbTmMo4, from Alexandria.

Structure (POSCAR):
```
TbTmMo4
1.0
0.000 3.895 3.895
3.895 0.000 3.895
3.895 3.895 0.000
Tb Tm Mo
1 1 4
Cartesian
0.000 0.000 0.000
5.843 5.843 5.843
2.921 2.921 2.921
4.870 4.870 2.921
4.870 2.921 4.870
2.921 4.870 4.870
```

Results
The total magnetization is 0.000 μB per atom. Its crystal system is cubic. Its symmetry is F-43m (216). For the formation energy, the calculation gives 0.080 eV per atom.